1.
# GaPb2Au2, optimized geometry, DFT PBE
# E above lowest polymorph (eV per atom): 0.000
# Raw total energy (eV/atom): -3.492
# Symmetry: P2_1/c (14)
# Energy of formation (eV per atom): -0.093
data_GaPb2Au2
_chemical_formula_sum 'Ga4 Pb8 Au8'
_cell_length_a 6.380
_cell_length_b 7.296
_cell_length_c 10.687
_cell_angle_alpha 100.66
_cell_angle_beta 90.00
_cell_angle_gamma 90.00
_space_group_name_H-M_alt 'P 1'
_space_group_IT_number 1
loop_
_space_group_symop_operation_xyz
'x,y,z'
loop_
_atom_site_label
_atom_site_fract_x
_atom_site_fract_y
_atom_site_fract_z
Pb1 0.266 0.379 0.005
Ga1 0.743 0.532 0.624
Au1 0.978 0.253 0.480
Au2 0.118 0.671 0.210
Au3 0.522 0.753 0.480
Pb2 0.753 0.950 0.291
Pb3 0.234 0.879 0.005
Pb4 0.766 0.121 0.995
Au4 0.478 0.247 0.520
Pb5 0.253 0.550 0.709
Pb6 0.747 0.450 0.291
Au5 0.022 0.747 0.520
Au6 0.618 0.829 0.790
Ga2 0.257 0.468 0.376
Ga3 0.243 0.968 0.376
Pb7 0.247 0.050 0.709
Pb8 0.734 0.621 0.995
Au7 0.882 0.329 0.790
Ga4 0.757 0.032 0.624
Au8 0.382 0.171 0.210



2.
# Ga3PbAu, optimized geometry, DFT PBE
# E above lowest polymorph (eV per atom): 0.000
# Raw total energy (eV/atom): -3.061
# Symmetry: Pm-3m (221)
# Energy of formation (eV per atom): 0.152
data_Ga3PbAu
_chemical_formula_sum 'Ga3 Pb1 Au1'
_cell_length_a 5.048
_cell_length_b 5.048
_cell_length_c 5.048
_cell_angle_alpha 90.00
_cell_angle_beta 90.00
_cell_angle_gamma 90.00
_space_group_name_H-M_alt 'P 1'
_space_group_IT_number 1
loop_
_space_group_symop_operation_xyz
'x,y,z'
loop_
_atom_site_label
_atom_site_fract_x
_atom_site_fract_y
_atom_site_fract_z
Ga1 0.000 0.500 0.000
Ga2 0.500 0.000 0.000
Ga3 0.000 0.000 0.500
Au1 0.000 0.000 0.000
Pb1 0.500 0.500 0.500



3.
# Ga3Pb2Au4, optimized geometry, DFT PBE
# Raw total energy (eV/atom): -3.438
# Symmetry: Cmce (64)
# Energy of formation (eV per atom): -0.148
data_Ga3Pb2Au4
_chemical_formula_sum 'Ga6 Pb4 Au8'
_cell_length_a 6.106
_cell_length_b 7.474
_cell_length_c 8.889
_cell_angle_alpha 90.00
_cell_angle_beta 110.09
_cell_angle_gamma 90.00
_space_group_name_H-M_alt 'P 1'
_space_group_IT_number 1
loop_
_space_group_symop_operation_xyz
'x,y,z'
loop_
_atom_site_label
_atom_site_fract_x
_atom_site_fract_y
_atom_site_fract_z
Au1 0.179 0.980 0.357
Au2 0.821 0.020 0.643
Ga1 0.500 0.500 0.000
Pb1 0.406 0.109 0.811
Au3 0.821 0.250 0.141
Au4 0.321 0.250 0.141
Au5 0.679 0.750 0.859
Pb2 0.094 0.609 0.189
Pb3 0.906 0.391 0.811
Ga2 0.000 0.000 0.000
Ga3 0.515 0.750 0.529
Pb4 0.594 0.891 0.189
Au6 0.179 0.750 0.859
Ga4 0.485 0.250 0.471
Ga5 0.015 0.750 0.529
Au7 0.321 0.480 0.643
Au8 0.679 0.520 0.357
Ga6 0.985 0.250 0.471